{
  "formula": "LaSm2Pu",
  "functional": "PBE",
  "state": "optimized geometry",
  "cell": [[1.805, 1.042, 11.747], [-1.805, 1.042, 11.747], [0.000, -2.084, 11.747]],
  "species": ["La", "Sm", "Sm", "Pu"],
  "fractional_positions": [[0.000, 0.000, 0.000], [0.579, 0.579, 0.579], [0.753, 0.753, 0.753], [0.166, 0.166, 0.166]],
  "spacegroup": "R3m, No. 160",
  "formation_enthalpy_0k_ev_per_atom": 0.128,
  "m_tot_mub_per_fu": 6.137,
  "polymorph_energy_mev_per_atom": 9
}